The following is a GGA+U calculation of a relaxed Mn3Ag4O8 crystal, from Alexandria.

Cell and atoms, written as POSCAR:
```
Mn3Ag4O8
1.0
9.0742 0.0000 0.0000
-0.0841 9.0738 0.0000
-0.0841 -0.0849 9.0734
O Ag Mn
32 16 12
direct
0.3294 0.7917 0.7236 O
0.4908 0.2584 0.9896 O
0.8288 0.9588 0.5255 O
0.2764 0.2083 0.6706 O
0.7917 0.7236 0.3294 O
0.5255 0.8288 0.9588 O
0.6706 0.2764 0.2083 O
0.0813 0.9706 0.7071 O
0.0294 0.9187 0.2929 O
0.7071 0.0813 0.9706 O
0.0412 0.1712 0.4745 O
0.5092 0.0104 0.7416 O
0.7602 0.7602 0.7602 O
0.5421 0.5813 0.7781 O
0.9896 0.4908 0.2584 O
0.4745 0.0412 0.1712 O
0.2083 0.6706 0.2764 O
0.2584 0.9896 0.4908 O
0.4187 0.4579 0.2219 O
0.0104 0.7416 0.5092 O
0.2398 0.2398 0.2398 O
0.7781 0.5421 0.5813 O
0.2219 0.4187 0.4579 O
0.9187 0.2929 0.0294 O
0.5813 0.7781 0.5421 O
0.9588 0.5255 0.8288 O
0.7236 0.3294 0.7917 O
0.4579 0.2219 0.4187 O
0.1712 0.4745 0.0412 O
0.7416 0.5092 0.0104 O
0.2929 0.0294 0.9187 O
0.9706 0.7071 0.0813 O
0.3944 0.7863 0.3859 Ag
0.6643 0.0000 0.3357 Ag
0.7863 0.3859 0.3944 Ag
0.2137 0.6056 0.6141 Ag
0.2153 0.9437 0.1364 Ag
0.3859 0.3944 0.7863 Ag
0.1364 0.2153 0.9437 Ag
0.0000 0.3357 0.6643 Ag
0.6056 0.6141 0.2137 Ag
0.6141 0.2137 0.6056 Ag
0.5000 0.5000 0.5000 Ag
0.3357 0.6643 0.0000 Ag
0.9437 0.1364 0.2153 Ag
0.7847 0.8636 0.0563 Ag
0.8636 0.0563 0.7847 Ag
0.0563 0.7847 0.8636 Ag
0.2921 0.0000 0.7079 Mn
0.2094 0.4593 0.2505 Mn
0.7906 0.7495 0.5407 Mn
0.9606 0.5000 0.0394 Mn
0.4593 0.2505 0.2094 Mn
0.0394 0.9606 0.5000 Mn
0.0000 0.7079 0.2921 Mn
0.5000 0.0394 0.9606 Mn
0.5407 0.7906 0.7495 Mn
0.2505 0.2094 0.4593 Mn
0.7495 0.5407 0.7906 Mn
0.7079 0.2921 0.0000 Mn
```

Energy   -344.55 eV/cell
Space group   R32
Total moment   8.99 μB/f.u.
Crystal system   trigonal